[1]
A plane-wave DFT calculation with PBE was carried out for La2ZrTc after structural relaxation. Values from VASP.

Cell and atoms, written as Quantum ESPRESSO input:
```
&SYSTEM
  ibrav = 0, nat = 4, ntyp = 3
/
ATOMIC_SPECIES
La 138.91 La.upf
Tc 98.00 Tc.upf
Zr 91.22 Zr.upf
ATOMIC_POSITIONS angstrom
La -2.2316 -10.6202 -0.8907
La -1.2888 -6.1332 -0.5144
Tc -3.0365 -2.2658 -0.3738
Zr -0.7141 -2.9143 1.5404
CELL_PARAMETERS angstrom
-3.4959 -4.9359 -2.3825
1.1489 -6.2330 1.4458
-1.4036 5.9889 2.1033
```

energy above the lowest structure with this stoichiometry	17.6	kJ/mol of atoms
energy relative to the elements	0.1892	eV per atom
SG	Immm (71)

=====

[2]
A plane-wave DFT calculation with PBE was carried out for LaZr3Tc after structural relaxation. Values from VASP.

Cell and atoms, written as Quantum ESPRESSO input:
```
&SYSTEM
  ibrav = 0, nat = 5, ntyp = 3
/
ATOMIC_SPECIES
Tc 98.00 Tc.upf
Zr 91.22 Zr.upf
La 138.91 La.upf
ATOMIC_POSITIONS angstrom
Tc 0.0000 0.0000 0.0000
Zr 2.5536 -0.1347 0.2209
Zr -0.1718 0.7565 2.4467
Zr -0.1935 -2.4490 0.7437
La 2.1884 -1.8271 3.4112
CELL_PARAMETERS angstrom
-0.3870 -4.8979 1.4873
5.1072 -0.2694 0.4418
-0.3435 1.5130 4.8933
```

energy above the lowest structure with this stoichiometry	0.0	kJ/mol of atoms
energy relative to the elements	0.2017	eV per atom
SG	Pm-3m (221)

=====

[3]
A plane-wave DFT calculation with PBE was carried out for La2ZrTc after structural relaxation. Values from VASP.

Cell and atoms, written as Quantum ESPRESSO input:
```
&SYSTEM
  ibrav = 0, nat = 4, ntyp = 3
/
ATOMIC_SPECIES
La 138.91 La.upf
Tc 98.00 Tc.upf
Zr 91.22 Zr.upf
ATOMIC_POSITIONS angstrom
La 0.0000 0.0000 0.3548
La 0.0000 0.0000 4.7102
Tc 0.9525 1.4867 2.5325
Zr 0.9525 1.4867 7.5974
CELL_PARAMETERS angstrom
3.3188 -0.0293 0.0000
-1.4138 3.0027 0.0000
0.0000 0.0000 10.1298
```

energy above the lowest structure with this stoichiometry	33.9	kJ/mol of atoms
energy relative to the elements	0.3584	eV per atom
SG	Cmmm (65)

=====

[4]
A plane-wave DFT calculation with PBE was carried out for La2ZrTc after structural relaxation. Values from VASP.

Cell and atoms, written as Quantum ESPRESSO input:
```
&SYSTEM
  ibrav = 0, nat = 4, ntyp = 3
/
ATOMIC_SPECIES
La 138.91 La.upf
Tc 98.00 Tc.upf
Zr 91.22 Zr.upf
ATOMIC_POSITIONS angstrom
La 0.0000 0.0000 8.6911
La 1.7150 1.7330 2.8441
Tc 0.0000 0.0000 4.7675
Zr 1.7150 1.7330 6.1724
CELL_PARAMETERS angstrom
3.4486 0.0174 0.0000
-0.0186 3.4486 0.0000
0.0000 0.0000 8.9900
```

energy above the lowest structure with this stoichiometry	0.0	kJ/mol of atoms
energy relative to the elements	0.0069	eV per atom
SG	P4mm (99)

=====

[5]
A plane-wave DFT calculation with PBE was carried out for La2ZrTc after structural relaxation. Values from VASP.

Cell and atoms, written as Quantum ESPRESSO input:
```
&SYSTEM
  ibrav = 0, nat = 4, ntyp = 3
/
ATOMIC_SPECIES
La 138.91 La.upf
Tc 98.00 Tc.upf
Zr 91.22 Zr.upf
ATOMIC_POSITIONS angstrom
La -0.0136 -11.5484 26.2672
La -0.0070 -5.9587 13.5532
Tc -0.0034 -2.9178 6.6367
Zr -0.0103 -8.7535 19.9102
CELL_PARAMETERS angstrom
-1.9624 -4.3905 8.6281
1.4477 -5.1926 8.2772
0.5009 -2.0883 9.6416
```

energy above the lowest structure with this stoichiometry	37.7	kJ/mol of atoms
energy relative to the elements	0.3980	eV per atom
SG	R-3m (166)

=====

[6]
A plane-wave DFT calculation with PBE was carried out for LaZr2Tc after structural relaxation. Values from VASP.

Cell and atoms, written as Quantum ESPRESSO input:
```
&SYSTEM
  ibrav = 0, nat = 4, ntyp = 3
/
ATOMIC_SPECIES
Tc 98.00 Tc.upf
Zr 91.22 Zr.upf
La 138.91 La.upf
ATOMIC_POSITIONS angstrom
Tc 4.9808 -3.7607 2.5047
Zr 7.2704 -2.6984 1.2228
Zr 4.3894 -1.6291 0.7382
La 1.0943 -2.3182 1.8510
CELL_PARAMETERS angstrom
-0.5739 -0.0534 3.2946
-1.1242 -3.1404 -0.2463
7.7732 -2.8851 1.3074
```

energy above the lowest structure with this stoichiometry	0.0	kJ/mol of atoms
energy relative to the elements	-0.1108	eV per atom
SG	P4/mmm (123)